Entry A
# Mn2Os2Au (PBE-GGA, optimized geometry)
# - volume (Å³/atom) = 14.3
data_Mn2Os2Au
_cell_length_a 7.3248
_cell_length_b 7.3248
_cell_length_c 2.6693
_cell_angle_alpha 90.00
_cell_angle_beta 90.00
_cell_angle_gamma 90.00
_space_group_name_H-M_alt 'P 4/m b m'
_space_group_IT_number 127
_space_group_name_Hall '-P 4 2ab'
loop_
_atom_site_label
_atom_site_type_symbol
_atom_site_fract_x
_atom_site_fract_y
_atom_site_fract_z
Mn1 Mn 0.1636 0.3364 0.0000
Os1 Os 0.1268 0.6268 0.5000
Au1 Au 0.0000 0.0000 0.5000

Entry B
# Mn2Os2Au (PBE-GGA, optimized geometry)
# - volume (Å³/atom) = 14.9
data_Mn2Os2Au
_cell_length_a 3.8883
_cell_length_b 3.8883
_cell_length_c 9.8796
_cell_angle_alpha 90.00
_cell_angle_beta 90.00
_cell_angle_gamma 90.00
_space_group_name_H-M_alt 'I 4/m m m'
_space_group_IT_number 139
_space_group_name_Hall '-I 4 2'
loop_
_atom_site_label
_atom_site_type_symbol
_atom_site_fract_x
_atom_site_fract_y
_atom_site_fract_z
Mn1 Mn 0.0000 0.0000 0.1065
Os1 Os 0.0000 0.5000 0.2500
Au1 Au 0.0000 0.0000 0.5000

Most stable: entry A

Entry A
# MnP3Au (PBE-GGA, optimized geometry)
# - volume (Å³/atom) = 17.0
data_MnP3Au
_cell_length_a 4.3994
_cell_length_b 4.3994
_cell_length_c 4.3994
_cell_angle_alpha 90.00
_cell_angle_beta 90.00
_cell_angle_gamma 90.00
_space_group_name_H-M_alt 'P m -3 m'
_space_group_IT_number 221
_space_group_name_Hall '-P 4 2 3'
loop_
_atom_site_label
_atom_site_type_symbol
_atom_site_fract_x
_atom_site_fract_y
_atom_site_fract_z
Mn1 Mn 0.0000 0.0000 0.0000
P1 P 0.0000 0.0000 0.5000
Au1 Au 0.5000 0.5000 0.5000

Entry B
# MnP3Au (PBE-GGA, optimized geometry)
# - volume (Å³/atom) = 21.7
data_MnP3Au
_cell_length_a 4.7717
_cell_length_b 4.7717
_cell_length_c 4.7717
_cell_angle_alpha 90.00
_cell_angle_beta 90.00
_cell_angle_gamma 90.00
_space_group_name_H-M_alt 'P m -3 m'
_space_group_IT_number 221
_space_group_name_Hall '-P 4 2 3'
loop_
_atom_site_label
_atom_site_type_symbol
_atom_site_fract_x
_atom_site_fract_y
_atom_site_fract_z
Mn1 Mn 0.0000 0.0000 0.0000
P1 P 0.0000 0.5000 0.5000
Au1 Au 0.5000 0.5000 0.5000

Most stable: entry A

Entry A
# MnPAuS2 (PBE-GGA, optimized geometry)
# - volume (Å³/atom) = 22.8
data_MnPAuS2
_cell_length_a 4.9659
_cell_length_b 4.9659
_cell_length_c 4.6184
_cell_angle_alpha 90.00
_cell_angle_beta 90.00
_cell_angle_gamma 90.00
_space_group_name_H-M_alt 'P 4/m m m'
_space_group_IT_number 123
_space_group_name_Hall '-P 4 2'
loop_
_atom_site_label
_atom_site_type_symbol
_atom_site_fract_x
_atom_site_fract_y
_atom_site_fract_z
Mn1 Mn 0.0000 0.0000 0.0000
P1 P 0.5000 0.5000 0.0000
Au1 Au 0.5000 0.5000 0.5000
S1 S 0.0000 0.5000 0.5000

Entry B
# MnPAuS2 (PBE-GGA, optimized geometry)
# - volume (Å³/atom) = 18.3
data_MnPAuS2
_cell_length_a 4.2078
_cell_length_b 4.2078
_cell_length_c 5.1655
_cell_angle_alpha 90.00
_cell_angle_beta 90.00
_cell_angle_gamma 90.00
_space_group_name_H-M_alt 'P 4/m m m'
_space_group_IT_number 123
_space_group_name_Hall '-P 4 2'
loop_
_atom_site_label
_atom_site_type_symbol
_atom_site_fract_x
_atom_site_fract_y
_atom_site_fract_z
Mn1 Mn 0.0000 0.0000 0.0000
P1 P 0.0000 0.0000 0.5000
Au1 Au 0.5000 0.5000 0.5000
S1 S 0.0000 0.5000 0.0000

Most stable: entry B

Entry A
# PaMn2Au (PBE-GGA, optimized geometry)
# - volume (Å³/atom) = 17.4
data_PaMn2Au
_cell_length_a 3.3950
_cell_length_b 3.3950
_cell_length_c 6.0262
_cell_angle_alpha 90.00
_cell_angle_beta 90.00
_cell_angle_gamma 90.00
_space_group_name_H-M_alt 'P 4/m m m'
_space_group_IT_number 123
_space_group_name_Hall '-P 4 2'
loop_
_atom_site_label
_atom_site_type_symbol
_atom_site_fract_x
_atom_site_fract_y
_atom_site_fract_z
Pa1 Pa 0.0000 0.0000 0.0000
Mn1 Mn 0.5000 0.5000 0.2401
Au1 Au 0.0000 0.0000 0.5000

Entry B
# PaMn2Au (PBE-GGA, optimized geometry)
# - volume (Å³/atom) = 16.8
data_PaMn2Au
_cell_length_a 4.2886
_cell_length_b 4.2886
_cell_length_c 3.6642
_cell_angle_alpha 90.00
_cell_angle_beta 90.00
_cell_angle_gamma 90.00
_space_group_name_H-M_alt 'P 4/m m m'
_space_group_IT_number 123
_space_group_name_Hall '-P 4 2'
loop_
_atom_site_label
_atom_site_type_symbol
_atom_site_fract_x
_atom_site_fract_y
_atom_site_fract_z
Pa1 Pa 0.0000 0.0000 0.0000
Mn1 Mn 0.0000 0.5000 0.5000
Au1 Au 0.5000 0.5000 0.0000

Entry C
# PaMn2Au (PBE-GGA, optimized geometry)
# - volume (Å³/atom) = 17.9
data_PaMn2Au
_cell_length_a 4.5353
_cell_length_b 4.5353
_cell_length_c 12.0871
_cell_angle_alpha 90.00
_cell_angle_beta 90.00
_cell_angle_gamma 120.00
_space_group_name_H-M_alt 'R -3 m'
_space_group_IT_number 166
_space_group_name_Hall '-R 3 2"'
loop_
_atom_site_label
_atom_site_type_symbol
_atom_site_fract_x
_atom_site_fract_y
_atom_site_fract_z
Pa1 Pa 0.0000 0.0000 0.0000
Mn1 Mn 0.0000 0.0000 0.1863
Au1 Au 0.0000 0.0000 0.5000

Most stable: entry C